# 1
DFT (GGA-PBE) results for a geometry-optimized NdCu6 structure.

The space group is Pm-3m (No. 221) and the conventional cell measures 5.485, 5.485 and 5.485 Å, with angles of 90.00, 90.00 and 90.00 degrees. Symmetry generates all atoms from Nd at (0.000, 0.000, 0.000) and Cu at (0.198, 0.500, 0.500).

The total magnetization is 0.00 μB per atom. The calculation puts the density of states at the Fermi level at 0.87 states/eV/atom. Its energy above the most stable polymorph in this dataset is 898.7 meV per atom. The value obtained for the density is 5287 kg/m3. The value obtained for the total energy is -3.431 eV/atom.

***

# 2
DFT (GGA-PBE) results for a geometry-optimized NdCu4 structure.

The space group is Pm-3m (No. 221) and the conventional cell measures 5.146, 5.146 and 5.146 Å, with angles of 90.00, 90.00 and 90.00 degrees. Symmetry generates all atoms from Nd at (0.000, 0.000, 0.000), Cu at (0.000, 0.000, 0.500) and Cu at (0.500, 0.500, 0.500).

The total magnetization is 0.00 μB per atom. The calculation puts the density of states at the Fermi level at 0.12 states/eV/atom. The value obtained for the density is 4855 kg/m3. The value obtained for the total energy is -2.768 eV/atom.

***

# 3
DFT (GGA-PBE) results for a geometry-optimized Nd5Cu6 structure.

The space group is Cmmm (No. 65) and the conventional cell measures 4.397, 29.719 and 3.838 Å, with angles of 90.00, 90.00 and 90.00 degrees. Symmetry generates all atoms from Nd at (0.000, 0.000, 0.000), Nd at (0.000, 0.197, 0.500), Nd at (0.000, 0.384, 0.000), Cu at (0.000, 0.085, 0.500), Cu at (0.000, 0.274, 0.000) and Cu at (0.000, 0.459, 0.500).

The total magnetization is 0.00 μB per atom. The calculation puts the density of states at the Fermi level at 0.80 states/eV/atom. The value obtained for the density is 7300 kg/m3. The value obtained for the total energy is -4.580 eV/atom.

***

# 4
DFT (GGA-PBE) results for a geometry-optimized NdCu4 structure.

The space group is I-43m (No. 217) and the conventional cell measures 8.750, 8.750 and 8.750 Å, with angles of 90.00, 90.00 and 90.00 degrees. Symmetry generates all atoms from Nd at (0.215, 0.215, 0.215), Cu at (0.000, 0.000, 0.359), Cu at (0.000, 0.250, 0.500) and Cu at (0.100, 0.100, 0.900).

The total magnetization is 0.00 μB per atom. The calculation puts the density of states at the Fermi level at 0.46 states/eV/atom. The value obtained for the density is 7901 kg/m3. The value obtained for the total energy is -4.328 eV/atom.